Record 1
Material: La2Y6Mg
Method: DFT, PBE
State: relaxed

total DFT energy (no corrections) = -5.504 eV/atom
ΔE to the lowest computed polymorph = 19 meV/atom
magnetic moment = 0.0064 μB per atom
calculated volume = 32.98 Å³ per atom

Cell lengths 3.600, 3.600, 26.454 Å; angles 90.00, 90.00, 120.00 degrees
Fractional positions:
La (0.000, 0.000, 0.174)
La (0.000, 0.000, 0.826)
Y (0.000, 0.000, 0.398)
Y (0.000, 0.000, 0.602)
Y (0.667, 0.333, 0.063)
Y (0.667, 0.333, 0.291)
Y (0.667, 0.333, 0.709)
Y (0.667, 0.333, 0.937)
Mg (0.667, 0.333, 0.500)


Record 2
Material: SrYAg2
Method: DFT, PBE
State: relaxed

total DFT energy (no corrections) = -3.568 eV/atom
ΔE to the lowest computed polymorph = 186 meV/atom
magnetic moment = 0.0000 μB per atom
calculated volume = 26.99 Å³ per atom

Cell lengths 3.642, 5.197, 11.405 Å; angles 90.00, 90.00, 90.00 degrees
Fractional positions:
Sr (0.000, 0.000, 0.000)
Sr (0.500, 0.500, 0.500)
Y (0.000, 0.500, 0.208)
Y (0.500, 0.000, 0.708)
Ag (0.000, 0.000, 0.466)
Ag (0.000, 0.500, 0.763)
Ag (0.500, 0.000, 0.263)
Ag (0.500, 0.500, 0.966)


Record 3
Material: SrPbS2O6
Method: DFT, PBE
State: relaxed

total DFT energy (no corrections) = -6.001 eV/atom
ΔE_f (raw) = -1.662 eV/atom
magnetic moment = 0.0000 μB per atom
calculated volume = 16.80 Å³ per atom

Cell lengths 7.260, 7.260, 7.260 Å; angles 44.05, 44.05, 44.05 degrees
Fractional positions:
Sr (0.000, 0.000, 0.000)
Pb (0.500, 0.500, 0.500)
S (0.277, 0.277, 0.277)
S (0.723, 0.723, 0.723)
O (0.002, 0.478, 0.781)
O (0.219, 0.998, 0.522)
O (0.478, 0.781, 0.002)
O (0.522, 0.219, 0.998)
O (0.781, 0.002, 0.478)
O (0.998, 0.522, 0.219)


Record 4
Material: ScZnIn
Method: DFT, PBE
State: relaxed

total DFT energy (no corrections) = -3.156 eV/atom
magnetic moment = 0.0000 μB per atom
calculated volume = 23.77 Å³ per atom

Cell lengths 3.137, 3.137, 25.097 Å; angles 90.00, 90.00, 120.00 degrees
Fractional positions:
Sc (0.000, 0.000, 0.000)
Sc (0.333, 0.667, 0.667)
Sc (0.667, 0.333, 0.333)
Zn (0.000, 0.000, 0.112)
Zn (0.333, 0.667, 0.779)
Zn (0.667, 0.333, 0.446)
In (0.000, 0.000, 0.879)
In (0.333, 0.667, 0.546)
In (0.667, 0.333, 0.212)